Model 1:
{"formula": "LaTbYEr", "functional": "PBE", "state": "optimized geometry", "lattice_angstrom": [[8.119, 0.000, 0.000], [0.000, 8.119, 0.000], [0.000, 0.000, 8.119]], "species": ["La", "La", "La", "La", "Tb", "Tb", "Tb", "Tb", "Y", "Y", "Y", "Y", "Er", "Er", "Er", "Er"], "frac_coords": [[0.000, 0.000, 0.000], [0.000, 0.500, 0.500], [0.500, 0.000, 0.500], [0.500, 0.500, 0.000], [0.250, 0.250, 0.250], [0.250, 0.750, 0.750], [0.750, 0.250, 0.750], [0.750, 0.750, 0.250], [0.000, 0.000, 0.500], [0.000, 0.500, 0.000], [0.500, 0.000, 0.000], [0.500, 0.500, 0.500], [0.250, 0.250, 0.750], [0.250, 0.750, 0.250], [0.750, 0.250, 0.250], [0.750, 0.750, 0.750]], "spacegroup": "F-43m, No. 216"}



Model 2:
{"formula": "LaTbYEr", "functional": "PBE", "state": "optimized geometry", "lattice_angstrom": [[12.453, 0.000, 0.000], [0.000, 5.869, 0.000], [-1.174, 0.000, 3.650]], "species": ["La", "La", "Tb", "Tb", "Y", "Y", "Er", "Er"], "frac_coords": [[0.000, 0.000, 0.000], [0.500, 0.500, 0.000], [0.238, 0.500, 0.217], [0.738, 0.000, 0.217], [0.261, 0.000, 0.740], [0.761, 0.500, 0.740], [0.000, 0.500, 0.488], [0.500, 0.000, 0.488]], "spacegroup": "Cm, No. 8"}



What is the least stable structure shown above? It is model 1.